Below is a relaxed structure of RbCuGe, with properties calculated at the GGA-PBE level.

Volume = 85 Å³/cell
Space-group type = F-43m, No. 216
Crystal system = cubic
Raw total energy = -2.39 eV/atom

Structure (CIF):
```
data_RbCuGe
_chemical_formula_sum 'Rb1 Cu1 Ge1'
_cell_length_a 4.9430
_cell_length_b 4.9430
_cell_length_c 4.9430
_cell_angle_alpha 60.00
_cell_angle_beta 60.00
_cell_angle_gamma 60.00
_space_group_name_H-M_alt 'P 1'
_space_group_IT_number 1
loop_
_space_group_symop_operation_xyz
'x,y,z'
loop_
_atom_site_label
_atom_site_type_symbol
_atom_site_fract_x
_atom_site_fract_y
_atom_site_fract_z
Rb1 Rb 0.0000 0.0000 0.0000
Cu1 Cu 0.7500 0.7500 0.7500
Ge1 Ge 0.5000 0.5000 0.5000
```